Record 1
La8Ce | PBE-GGA | relaxed

Properties
DOS at the Fermi energy: 17.67 states/eV/cell
Space group: I4/mmm, No. 139
Volume: 35.434 Å³ per atom
E_form: 27 meV per atom

Cell lengths 5.191, 8.256, 8.257 Å; angles 84.33, 71.68, 71.68 degrees
Fractional coordinates of all 9 atoms:
1 La 0.660 0.000 0.680
2 La 0.340 0.000 0.320
3 La 0.000 0.326 0.674
4 La 0.340 0.320 0.000
5 La 0.674 0.326 0.326
6 La 0.660 0.680 0.000
7 La 0.000 0.674 0.326
8 La 0.326 0.674 0.674
9 Ce 0.000 0.000 0.000



Record 2
La5Ce | PBE-GGA | relaxed

Properties
DOS at the Fermi energy: 14.57 states/eV/cell
Space group: Amm2, No. 38
Volume: 35.131 Å³ per atom
Energy above the lowest structure with this stoichiometry: 0.539 eV/f.u.
E_form: 129 meV per atom

Cell lengths 6.209, 6.059, 6.405 Å; angles 90.00, 118.99, 90.00 degrees
Fractional coordinates of all 6 atoms:
1 La 0.797 0.500 0.594
2 La 0.664 0.000 0.328
3 La 0.465 0.500 0.930
4 La 0.310 0.000 0.620
5 La 0.110 0.500 0.219
6 Ce 0.987 0.000 0.975



Record 3
LaCe2 | PBE-GGA | relaxed

Properties
DOS at the Fermi energy: 19.53 states/eV/cell
Space group: Fd-3m, No. 227
Volume: 30.529 Å³ per atom
Energy above the lowest structure with this stoichiometry: 0.325 eV/f.u.
E_form: 179 meV per atom

Cell lengths 6.375, 6.375, 6.375 Å; angles 60.00, 60.00, 60.00 degrees
Fractional coordinates of all 6 atoms:
1 Ce 0.125 0.625 0.625
2 Ce 0.625 0.125 0.625
3 Ce 0.625 0.625 0.625
4 Ce 0.625 0.625 0.125
5 La 0.000 0.000 0.000
6 La 0.250 0.250 0.250



no.,total magnetic moment (μB/f.u.)
1,0.4
2,1.3
3,1.9